! Li4Ac3Ag4 | Alexandria via LeMat-Bulk | PBE | optimized geometry; values from VASP
! - DFT total energy (Ha/atom) = -0.11210
! - formation energy (kJ per mole of atoms) = -19
! - space group = No. 71
! - spin magnetization (μB/cell) = 0.00
&SYSTEM
  ibrav = 0, nat = 11, ntyp = 3
/
ATOMIC_SPECIES
Li 6.94 Li.upf
Ag 107.87 Ag.upf
Ac 227.00 Ac.upf
ATOMIC_POSITIONS crystal
Li 0.3230 0.5118 0.6461
Li 0.6770 0.4882 0.3539
Li 0.3230 0.1342 0.6461
Li 0.6770 0.8658 0.3539
Ag 0.7842 0.2842 0.5684
Ag 0.2158 0.7158 0.4316
Ag 0.5000 0.1904 0.0000
Ag 0.5000 0.8096 0.0000
Ac 0.0000 0.5000 0.0000
Ac 0.1250 0.1250 0.2501
Ac 0.8750 0.8750 0.7499
CELL_PARAMETERS angstrom
4.3243 0.0000 -1.0757
-0.9842 7.0055 -3.9564
-0.0504 0.4022 9.0275